The following is a PBE-GGA calculation of a geometry-optimized SrLi3Ge3 structure, from Alexandria via LeMat-Bulk.

- Final energy: -23.9 eV per formula unit
- Fermi-level density of states: 2.72 states/eV/f.u.
- Space group: P6_3/m
- Energy relative to the elements: -0.38 eV per atom
- Spin magnetization: 0.0 μB per formula unit

abc: 10.036 10.036 3.969
angles: 90.00 90.00 120.00
Atoms (fractional coordinates):
Sr  0.333  0.667  0.250
Sr  0.667  0.333  0.750
Li  0.102  0.754  0.750
Li  0.246  0.347  0.750
Li  0.347  0.102  0.250
Li  0.653  0.898  0.750
Li  0.754  0.653  0.250
Li  0.898  0.246  0.250
Ge  0.048  0.456  0.750
Ge  0.408  0.952  0.750
Ge  0.456  0.408  0.250
Ge  0.544  0.592  0.750
Ge  0.592  0.048  0.250
Ge  0.952  0.544  0.250

***

The following is a PBE-GGA calculation of a geometry-optimized Nb6PdPt structure, from Alexandria via LeMat-Bulk.

- Final energy: -73.5 eV per formula unit
- Fermi-level density of states: 9.15 states/eV/f.u.
- Space group: I4/mmm
- Energy relative to the elements: -0.23 eV per atom
- Spin magnetization: 0.0 μB per formula unit

abc: 7.137 7.137 7.137
angles: 141.33 141.33 55.84
Atoms (fractional coordinates):
Nb  0.127  0.627  0.500
Nb  0.250  0.250  0.000
Nb  0.373  0.873  0.500
Nb  0.627  0.127  0.500
Nb  0.750  0.750  0.000
Nb  0.873  0.373  0.500
Pd  0.000  0.000  0.000
Pt  0.500  0.500  0.000

***

Which value of Fermi-level density of states does entry 1 give?
2.72 states/eV/f.u.